IrC5 | PBEsol | optimized geometry

a = 3.160 Å, b = 3.160 Å, c = 5.248 Å
α = 90.00°, β = 90.00°, γ = 90.00°
Sites, in units of the cell vectors:
Ir1 0.500 0.500 0.000
C1 0.000 0.000 0.237
C2 0.000 0.000 0.763
C3 0.000 0.000 0.500
C4 0.500 0.500 0.624
C5 0.500 0.500 0.376

Summary:
The formation energy is 2.35 eV/atom. The excess energy over the best structure of this formula in the dataset comes out at 1489 meV per atom. The value obtained for the magnetization is 0.0 μB/cell. Its final energy is -7.32 eV/atom.